This record from Alexandria via LeMat-Bulk describes crystalline LiCrP2HO7 at its relaxed geometry. The functional is PBE with a Hubbard U.

Output
E, eV/atom: -6.90
SG: P-1
Theoretical density, g cm⁻³: 2.74
Size of the total moment, μB per formula unit: 4.0

abc: 6.1474 6.5321 7.5648
angles: 91.83 95.59 109.81
With the nearest neighbours (Å) after each atom.
Element x y z (fractional)
Li1 0.2412 0.1894 0.3131  4 O 2.02-2.15
Li2 0.7588 0.8106 0.6869  4 O 2.02-2.15
Cr1 0.2376 0.6631 0.7979  4 O 2.04-2.11
Cr2 0.7624 0.3369 0.2021  4 O 2.04-2.11
P1 0.2845 0.6867 0.3663  4 O 1.50-1.61
P2 0.3411 0.1867 0.8898  4 O 1.52-1.61
P3 0.6589 0.8133 0.1102  4 O 1.52-1.61
P4 0.7155 0.3133 0.6337  4 O 1.50-1.61
H1 0.0122 0.2170 0.7006  1 O 1.04
H2 0.9878 0.7830 0.2994  1 O 1.04
O1 0.1115 0.4546 0.3195  1 P 1.53
O2 0.1483 0.8536 0.3754  1 H 1.04
O3 0.1869 0.9557 0.8233  1 P 1.52
O4 0.2215 0.3444 0.8184  1 H 1.46, 1 P 1.54
O5 0.4119 0.7526 0.1893  2 P 1.61
O6 0.4144 0.2206 0.0908  1 P 1.53
O7 0.4516 0.7188 0.5313  1 P 1.50
O8 0.5484 0.2812 0.4687  1 P 1.50
O9 0.5856 0.7794 0.9092  1 P 1.53
O10 0.5881 0.2474 0.8107  2 P 1.61
O11 0.7785 0.6556 0.1816  1 H 1.46, 1 P 1.54
O12 0.8131 0.0443 0.1767  1 P 1.52
O13 0.8517 0.1464 0.6246  1 H 1.04
O14 0.8885 0.5454 0.6805  1 P 1.53